No. 1
KPaI5: relaxed, PBE-GGA.

Calculated values
DFT total energy, eV/atom: -3.70
Formation energy (no corrections), eV/atom: -1.077

a = 8.4496 Å, b = 8.4496 Å, c = 12.2224 Å
α = 70.63°, β = 70.63°, γ = 69.19°
Last column: nearest neighbours and their distance in Å.
Sites, in units of the cell vectors:
K  0.5337  0.4663  0.7500  7 I 3.61-4.02
K  0.4663  0.5337  0.2500  7 I 3.61-4.02
Pa  0.0000  0.0000  0.0000  6 I 2.98-3.14
Pa  0.0000  0.0000  0.5000  6 I 2.98-3.14
I  0.3223  0.1178  0.8796  1 Pa 2.98
I  0.3710  0.7856  0.5026  1 Pa 3.02
I  0.1178  0.3223  0.3796  1 Pa 2.98
I  0.9257  0.0743  0.7500  2 Pa 3.14
I  0.2144  0.6290  0.9974  1 Pa 3.02
I  0.7856  0.3710  0.0026  1 Pa 3.02
I  0.0743  0.9257  0.2500  2 Pa 3.14
I  0.8822  0.6777  0.6204  1 Pa 2.98
I  0.6290  0.2144  0.4974  1 Pa 3.02
I  0.6777  0.8822  0.1204  1 Pa 2.98

No. 2
Li2Cu2Rh: relaxed, PBE-GGA.

Calculated values
E_form, kJ/mol of atoms: 6.82
DFT total energy, eV/atom: -3.80

a = 6.9014 Å, b = 6.9014 Å, c = 2.6777 Å
α = 90.00°, β = 90.00°, γ = 90.00°
Last column: nearest neighbours and their distance in Å.
Sites, in units of the cell vectors:
Rh  0.0000  0.0000  0.0000  2 Rh 2.68, 4 Cu 2.72, 8 Li 2.88
Rh  0.5000  0.5000  0.0000  2 Rh 2.68, 4 Cu 2.72, 8 Li 2.88
Cu  0.3740  0.8740  0.0000  6 Li 2.37-2.49, 1 Cu 2.46
Cu  0.8740  0.6260  0.0000  6 Li 2.37-2.49, 1 Cu 2.46
Cu  0.6260  0.1260  0.0000  6 Li 2.37-2.49, 1 Cu 2.46
Cu  0.1260  0.3740  0.0000  6 Li 2.37-2.49, 1 Cu 2.46
Li  0.1741  0.6741  0.5000  6 Cu 2.37-2.49
Li  0.6741  0.8259  0.5000  6 Cu 2.37-2.49
Li  0.8259  0.3259  0.5000  6 Cu 2.37-2.49
Li  0.3259  0.1741  0.5000  6 Cu 2.37-2.49

No. 3
MgBe: relaxed, PBE-GGA.

Calculated values
E_form, kJ/mol of atoms: 70.39
DFT total energy, eV/atom: -1.93

a = 7.4890 Å, b = 7.4890 Å, c = 7.4890 Å
α = 90.00°, β = 90.00°, γ = 90.00°
Last column: nearest neighbours and their distance in Å.
Sites, in units of the cell vectors:
Mg  0.2867  0.2867  0.2867  4 Be 2.45-2.63
Mg  0.2867  0.7133  0.7133  4 Be 2.45-2.63
Mg  0.7133  0.2867  0.7133  4 Be 2.45-2.63
Mg  0.7133  0.7133  0.2867  4 Be 2.45-2.63
Mg  0.7867  0.7867  0.7867  4 Be 2.45-2.63
Mg  0.7867  0.2133  0.2133  4 Be 2.45-2.63
Mg  0.2133  0.7867  0.2133  4 Be 2.45-2.63
Mg  0.2133  0.2133  0.7867  4 Be 2.45-2.63
Be  0.0977  0.0977  0.0977  3 Be 2.07
Be  0.0977  0.9023  0.9023  3 Be 2.07
Be  0.9023  0.0977  0.9023  3 Be 2.07
Be  0.9023  0.9023  0.0977  3 Be 2.07
Be  0.5977  0.5977  0.5977  3 Be 2.07
Be  0.5977  0.4023  0.4023  3 Be 2.07
Be  0.4023  0.5977  0.4023  3 Be 2.07
Be  0.4023  0.4023  0.5977  3 Be 2.07

No. 4
Ce2EuHo: relaxed, PBE-GGA.

Calculated values
E_form, kJ/mol of atoms: 19.81
DFT total energy, eV/atom: -6.47

a = 5.1996 Å, b = 4.9612 Å, c = 4.9612 Å
α = 90.00°, β = 90.00°, γ = 90.00°
Last column: nearest neighbours and their distance in Å.
Sites, in units of the cell vectors:
Eu  0.5000  0.0000  0.0000  4 Ho 3.51, 8 Ce 3.59
Ho  0.5000  0.5000  0.5000  4 Eu 3.51, 8 Ce 3.59
Ce  0.0000  0.0000  0.5000  4 Ce 3.51, 4 Ho 3.59, 4 Eu 3.59
Ce  0.0000  0.5000  0.0000  4 Ce 3.51, 4 Ho 3.59, 4 Eu 3.59

No. 5
NdZn6Ag12: relaxed, PBE-GGA.

Calculated values
E_form, kJ/mol of atoms: 3.66
DFT total energy, eV/atom: -2.42

a = 7.4316 Å, b = 7.4316 Å, c = 7.4316 Å
α = 104.53°, β = 104.53°, γ = 104.53°
Last column: nearest neighbours and their distance in Å.
Sites, in units of the cell vectors:
Nd  0.0000  0.0000  0.0000  6 Ag 3.25
Zn  0.7021  0.2771  0.2771  7 Ag 2.59-2.78
Zn  0.2771  0.2771  0.7021  7 Ag 2.59-2.78
Zn  0.2771  0.7021  0.2771  7 Ag 2.59-2.78
Zn  0.7229  0.7229  0.2979  7 Ag 2.59-2.78
Zn  0.2979  0.7229  0.7229  7 Ag 2.59-2.78
Zn  0.7229  0.2979  0.7229  7 Ag 2.59-2.78
Ag  0.8842  0.1158  0.5000  4 Zn 2.59-2.71, 3 Ag 2.72-2.83
Ag  0.8633  0.6116  0.6116  4 Zn 2.72-2.96, 4 Ag 2.83-2.96
Ag  0.6116  0.6116  0.8633  4 Zn 2.72-2.96, 4 Ag 2.83-2.96
Ag  0.3884  0.1367  0.3884  4 Zn 2.72-2.96, 4 Ag 2.83-2.96
Ag  0.3884  0.3884  0.1367  4 Zn 2.72-2.96, 4 Ag 2.83-2.96
Ag  0.1367  0.3884  0.3884  4 Zn 2.72-2.96, 4 Ag 2.83-2.96
Ag  0.1158  0.5000  0.8842  4 Zn 2.59-2.71, 3 Ag 2.72-2.83
Ag  0.5000  0.8842  0.1158  4 Zn 2.59-2.71, 3 Ag 2.72-2.83
Ag  0.1158  0.8842  0.5000  4 Zn 2.59-2.71, 3 Ag 2.72-2.83
Ag  0.8842  0.5000  0.1158  4 Zn 2.59-2.71, 3 Ag 2.72-2.83
Ag  0.5000  0.1158  0.8842  4 Zn 2.59-2.71, 3 Ag 2.72-2.83
Ag  0.6116  0.8633  0.6116  4 Zn 2.72-2.96, 4 Ag 2.83-2.96

No. 6
TiZnCu: relaxed, PBE-GGA.

Calculated values
E_form, kJ/mol of atoms: -11.47
DFT total energy, eV/atom: -4.54

a = 2.9812 Å, b = 2.9960 Å, c = 10.2157 Å
α = 90.00°, β = 107.17°, γ = 90.00°
Last column: nearest neighbours and their distance in Å.
Sites, in units of the cell vectors:
Ti  0.1556  0.2500  0.9060  4 Cu 2.69, 8 Ti 2.80-3.00
Ti  0.8444  0.7500  0.0940  4 Cu 2.69, 8 Ti 2.80-3.00
Zn  0.8350  0.2500  0.5871  4 Cu 2.56-2.57, 4 Zn 2.70-2.72
Zn  0.1650  0.7500  0.4129  4 Cu 2.56-2.57, 4 Zn 2.70-2.72
Cu  0.5164  0.2500  0.2644  4 Zn 2.56-2.57, 4 Ti 2.69
Cu  0.4836  0.7500  0.7356  4 Zn 2.56-2.57, 4 Ti 2.69